Record 1
The following is a DFT calculation (PBE) of an optimized crystal structure of Tl2CdSn.

Lattice parameters (Å, degrees): 5.443 5.443 5.411 119.65 119.65 59.48
Fractional coordinates of all 4 atoms:
Tl1 0.000 0.000 0.000
Tl2 0.249 0.249 0.749
Cd1 0.499 0.499 0.499
Sn1 0.750 0.750 0.250

ΔH_f (0 K) ... 0.0446 eV/atom
Energy above the most stable polymorph in this dataset ... 22 meV/atom
Space-group type ... Cm, No. 8
V ... 28.37 A^3/atom

Record 2
The following is a DFT calculation (PBE) of an optimized crystal structure of Tl2CdSn.

Lattice parameters (Å, degrees): 3.495 7.289 9.530 69.62 88.59 85.61
Fractional coordinates of all 8 atoms:
Tl1 0.000 0.000 0.000
Tl2 0.003 0.716 0.507
Tl3 0.462 0.120 0.274
Tl4 0.538 0.595 0.243
Cd1 0.017 0.479 0.994
Cd2 0.495 0.368 0.767
Sn1 0.509 0.836 0.765
Sn2 0.974 0.208 0.555

ΔH_f (0 K) ... 0.0383 eV/atom
Energy above the most stable polymorph in this dataset ... 16 meV/atom
Space-group type ... P1, No. 1
V ... 28.37 A^3/atom

Record 3
The following is a DFT calculation (PBE) of an optimized crystal structure of Tl2CdSn.

Lattice parameters (Å, degrees): 7.428 4.381 7.916 90.00 117.60 90.00
Fractional coordinates of all 8 atoms:
Tl1 0.076 0.250 0.377
Tl2 0.309 0.250 0.884
Tl3 0.691 0.750 0.116
Tl4 0.924 0.750 0.623
Cd1 0.181 0.750 0.122
Cd2 0.819 0.250 0.878
Sn1 0.460 0.750 0.620
Sn2 0.540 0.250 0.380

ΔH_f (0 K) ... 0.0369 eV/atom
Energy above the most stable polymorph in this dataset ... 14 meV/atom
Space-group type ... P2_1/m, No. 11
V ... 28.54 A^3/atom

Record 4
The following is a DFT calculation (PBE) of an optimized crystal structure of Tl2Cd2Sn.

Lattice parameters (Å, degrees): 7.675 7.675 4.885 90.00 90.00 90.00
Fractional coordinates of all 10 atoms:
Tl1 0.170 0.330 0.000
Tl2 0.330 0.830 0.000
Tl3 0.670 0.170 0.000
Tl4 0.830 0.670 0.000
Cd1 0.134 0.634 0.500
Cd2 0.366 0.134 0.500
Cd3 0.634 0.866 0.500
Cd4 0.866 0.366 0.500
Sn1 0.000 0.000 0.500
Sn2 0.500 0.500 0.500

ΔH_f (0 K) ... 0.0652 eV/atom
Energy above the most stable polymorph in this dataset ... 16 meV/atom
Space-group type ... P4/mbm, No. 127
V ... 28.78 A^3/atom

Record 5
The following is a DFT calculation (PBE) of an optimized crystal structure of Tl2Cd5Sn4.

Lattice parameters (Å, degrees): 11.874 11.081 5.959 82.47 67.69 29.84
Fractional coordinates of all 11 atoms:
Tl1 0.176 0.176 0.824
Tl2 0.824 0.824 0.176
Cd1 0.000 0.000 0.500
Cd2 0.250 0.250 0.250
Cd3 0.500 0.500 0.000
Cd4 0.500 0.500 0.500
Cd5 0.750 0.750 0.750
Sn1 0.215 0.528 0.472
Sn2 0.472 0.785 0.215
Sn3 0.528 0.215 0.785
Sn4 0.785 0.472 0.528

ΔH_f (0 K) ... 0.1202 eV/atom
Space-group type ... Fmmm, No. 69
V ... 29.61 A^3/atom

Record 6
The following is a DFT calculation (PBE) of an optimized crystal structure of TlCd3Sn3.

Lattice parameters (Å, degrees): 8.019 8.019 8.019 90.00 90.00 90.00
Fractional coordinates of all 14 atoms:
Tl1 0.000 0.000 0.000
Tl2 0.500 0.500 0.500
Cd1 0.000 0.250 0.500
Cd2 0.000 0.750 0.500
Cd3 0.250 0.500 0.000
Cd4 0.500 0.000 0.250
Cd5 0.500 0.000 0.750
Cd6 0.750 0.500 0.000
Sn1 0.000 0.500 0.250
Sn2 0.000 0.500 0.750
Sn3 0.250 0.000 0.500
Sn4 0.500 0.250 0.000
Sn5 0.500 0.750 0.000
Sn6 0.750 0.000 0.500

ΔH_f (0 K) ... 0.3169 eV/atom
Energy above the most stable polymorph in this dataset ... 240 meV/atom
Space-group type ... Pm-3n, No. 223
V ... 36.83 A^3/atom